First-principles (PBE with a Hubbard U) data for TiV2O4 after structural relaxation, as listed in the Alexandria database.

```
data_TiV2O4
_symmetry_space_group_name_H-M 'F d d 2'
_symmetry_Int_Tables_number 43
_symmetry_space_group_name_Hall 'F 2 -2d'
_cell_length_a 9.7751
_cell_length_b 10.3965
_cell_length_c 6.1973
_cell_angle_alpha 90.00
_cell_angle_beta 90.00
_cell_angle_gamma 90.00
loop_
_atom_site_label
_atom_site_type_symbol
_atom_site_fract_x
_atom_site_fract_y
_atom_site_fract_z
Ti1 Ti 0.0000 0.0000 0.0000
V1 V 0.0259 0.2509 0.7248
O1 O 0.1226 0.1607 0.9979
O2 O 0.1240 0.1776 0.4506
```

Properties
* E: -8.295 eV/atom